# Er4HCN2 | the Alexandria database | PBE-GGA | relaxed
# Spin magnetization ... 0.00 μB/f.u.
# Calculated total energy ... -6.99 eV per atom
data_Er4HCN2
_chemical_formula_sum 'Er8 H2 C2 N4'
_space_group_name_H-M_alt 'I 4/m m m'
_space_group_IT_number 139
_space_group_name_Hall '-I 4 2'
_cell_length_a 4.888
_cell_length_b 4.888
_cell_length_c 9.870
_cell_angle_alpha 90.00
_cell_angle_beta 90.00
_cell_angle_gamma 90.00
loop_
_atom_site_label
_atom_site_type_symbol
_atom_site_fract_x
_atom_site_fract_y
_atom_site_fract_z
Er1 Er 0.000 0.000 0.238
Er2 Er 0.000 0.500 0.000
H1 H 0.000 0.000 0.500
C1 C 0.000 0.000 0.000
N1 N 0.000 0.500 0.250

# ZrTa3Ag | the Alexandria database | PBE-GGA | relaxed
# Energy above the most stable polymorph in this dataset ... 0.000 eV per formula unit
# Spin magnetization ... 0.00 μB/f.u.
# Calculated formation energy ... 1.753 eV per atom
data_ZrTa3Ag
_chemical_formula_sum 'Zr1 Ta3 Ag1'
_space_group_name_H-M_alt 'P m -3 m'
_space_group_IT_number 221
_space_group_name_Hall '-P 4 2 3'
_cell_length_a 4.905
_cell_length_b 4.905
_cell_length_c 4.905
_cell_angle_alpha 90.00
_cell_angle_beta 90.00
_cell_angle_gamma 90.00
loop_
_atom_site_label
_atom_site_type_symbol
_atom_site_fract_x
_atom_site_fract_y
_atom_site_fract_z
Zr1 Zr 0.000 0.000 0.000
Ta1 Ta 0.000 0.500 0.500
Ag1 Ag 0.500 0.500 0.500

# ScNbSe3 | the Alexandria database | PBE-GGA | relaxed
# Energy above the most stable polymorph in this dataset ... 1.546 eV per formula unit
# Spin magnetization ... 2.03 μB/f.u.
data_ScNbSe3
_chemical_formula_sum 'Sc1 Nb1 Se3'
_space_group_name_H-M_alt 'P m -3 m'
_space_group_IT_number 221
_space_group_name_Hall '-P 4 2 3'
_cell_length_a 5.050
_cell_length_b 5.050
_cell_length_c 5.050
_cell_angle_alpha 90.00
_cell_angle_beta 90.00
_cell_angle_gamma 90.00
loop_
_atom_site_label
_atom_site_type_symbol
_atom_site_fract_x
_atom_site_fract_y
_atom_site_fract_z
Sc1 Sc 0.000 0.000 0.000
Nb1 Nb 0.500 0.500 0.500
Se1 Se 0.000 0.000 0.500

# Sn3HgCl8 | the Alexandria database | PBE-GGA | relaxed
# Spin magnetization ... 0.00 μB/f.u.
# Calculated total energy ... -3.12 eV per atom
data_Sn3HgCl8
_chemical_formula_sum 'Sn6 Hg2 Cl16'
_space_group_name_H-M_alt 'P 63 m c'
_space_group_IT_number 186
_space_group_name_Hall 'P 6c -2c'
_cell_length_a 8.5448
_cell_length_b 8.5448
_cell_length_c 12.4227
_cell_angle_alpha 90.00
_cell_angle_beta 90.00
_cell_angle_gamma 120.00
loop_
_atom_site_label
_atom_site_type_symbol
_atom_site_fract_x
_atom_site_fract_y
_atom_site_fract_z
Sn1 Sn 0.1695 0.3390 0.0000
Hg1 Hg 0.3333 0.6667 0.2822
Cl1 Cl 0.0000 0.0000 0.1189
Cl2 Cl 0.0453 0.5227 0.1320
Cl3 Cl 0.1765 0.3530 0.3841
Cl4 Cl 0.3333 0.6667 0.8771

# Dy2ErTh5 | the Alexandria database | PBE-GGA | relaxed
# Energy above the most stable polymorph in this dataset ... 6.474 eV per formula unit
# Spin magnetization ... 0.00 μB/f.u.
# Calculated formation energy ... 0.863 eV per atom
data_Dy2ErTh5
_chemical_formula_sum 'Dy2 Er1 Th5'
_space_group_name_H-M_alt 'P 4/m m m'
_space_group_IT_number 123
_space_group_name_Hall '-P 4 2'
_cell_length_a 7.322
_cell_length_b 7.322
_cell_length_c 5.525
_cell_angle_alpha 90.00
_cell_angle_beta 90.00
_cell_angle_gamma 90.00
loop_
_atom_site_label
_atom_site_type_symbol
_atom_site_fract_x
_atom_site_fract_y
_atom_site_fract_z
Dy1 Dy 0.000 0.500 0.000
Er1 Er 0.000 0.000 0.500
Th1 Th 0.000 0.000 0.000
Th2 Th 0.286 0.286 0.500

# Y4TlAg | the Alexandria database | PBE-GGA | relaxed
# Energy above the most stable polymorph in this dataset ... 2.242 eV per formula unit
# Spin magnetization ... 0.00 μB/f.u.
# Calculated formation energy ... 0.355 eV per atom
data_Y4TlAg
_chemical_formula_sum 'Y16 Tl4 Ag4'
_space_group_name_H-M_alt 'F -4 3 m'
_space_group_IT_number 216
_space_group_name_Hall 'F -4 2 3'
_cell_length_a 8.932
_cell_length_b 8.932
_cell_length_c 8.932
_cell_angle_alpha 90.00
_cell_angle_beta 90.00
_cell_angle_gamma 90.00
loop_
_atom_site_label
_atom_site_type_symbol
_atom_site_fract_x
_atom_site_fract_y
_atom_site_fract_z
Y1 Y 0.124 0.124 0.376
Tl1 Tl 0.250 0.250 0.750
Ag1 Ag 0.000 0.000 0.000

# Rb4Dy3AlO8 | the Alexandria database | PBE-GGA | relaxed
# Spin magnetization ... 0.00 μB/f.u.
# Calculated total energy ... -6.30 eV per atom
data_Rb4Dy3AlO8
_chemical_formula_sum 'Rb12 Dy9 Al3 O24'
_space_group_name_H-M_alt 'R -3 m'
_space_group_IT_number 166
_space_group_name_Hall '-R 3 2"'
_cell_length_a 6.8066
_cell_length_b 6.8066
_cell_length_c 19.5523
_cell_angle_alpha 90.00
_cell_angle_beta 90.00
_cell_angle_gamma 120.00
loop_
_atom_site_label
_atom_site_type_symbol
_atom_site_fract_x
_atom_site_fract_y
_atom_site_fract_z
Rb1 Rb 0.0000 0.0000 0.0000
Rb2 Rb 0.0000 0.5000 0.0000
Dy1 Dy 0.0000 0.5000 0.5000
Al1 Al 0.0000 0.0000 0.5000
O1 O 0.0000 0.0000 0.2256
O2 O 0.0276 0.5138 0.2226

# Er5PuTe6 | the Alexandria database | PBE-GGA | relaxed
# Spin magnetization ... 6.24 μB/f.u.
# Calculated total energy ... -5.87 eV per atom
data_Er5PuTe6
_chemical_formula_sum 'Er10 Pu2 Te12'
_space_group_name_H-M_alt 'C 1 2/m 1'
_space_group_IT_number 12
_cell_length_a 7.480
_cell_length_b 12.966
_cell_length_c 7.556
_cell_angle_alpha 90.00
_cell_angle_beta 109.33
_cell_angle_gamma 90.00
loop_
_space_group_symop_operation_xyz
'x,y,z'
'-x,-y,-z'
'-x,y,-z'
'x,-y,z'
'x+1/2,y+1/2,z'
'-x+1/2,-y+1/2,-z'
'-x+1/2,y+1/2,-z'
'x+1/2,-y+1/2,z'
loop_
_atom_site_label
_atom_site_type_symbol
_atom_site_fract_x
_atom_site_fract_y
_atom_site_fract_z
Er1 Er 0.000 0.000 0.000
Er2 Er 0.000 0.168 0.500
Er3 Er 0.000 0.336 0.000
Pu1 Pu 0.000 0.500 0.500
Te1 Te 0.244 0.000 0.750
Te2 Te 0.246 0.169 0.246